Below is SrLiAg2 at its PBEsol-relaxed geometry, with properties calculated at the meta-GGA SCAN level.

Computed properties:
As for the symmetry: No. 71. The value obtained for the density of states at the Fermi level is 1.3 states/eV/f.u. The total energy is -87.99 eV per cell. As for the offset from the most stable computed form: 11.3 kJ/mol of atoms.

Geometry as extended XYZ:
```
4
Lattice="-2.382 2.769 3.611 2.382 -2.769 3.611 2.382 2.769 -3.611" Properties=species:S:1:pos:R:3 pbc="T T T"
Sr 0.000 0.000 0.000
Li 0.000 0.000 3.611
Ag 2.382 0.000 2.148
Ag 0.000 2.769 1.463
```

Below is Sr2LiAg at its PBEsol-relaxed geometry, with properties calculated at the meta-GGA SCAN level.

Computed properties:
As for the symmetry: No. 99. The value obtained for the density of states at the Fermi level is 3.1 states/eV/f.u. The total energy is -78.62 eV per cell. As for the offset from the most stable computed form: 8.9 kJ/mol of atoms.

Geometry as extended XYZ:
```
4
Lattice="3.820 0.000 0.000 0.000 3.820 0.000 0.000 0.000 8.583" Properties=species:S:1:pos:R:3 pbc="T T T"
Sr 0.000 0.000 0.000
Sr 1.910 1.910 3.281
Li 1.910 1.910 6.325
Ag 0.000 0.000 5.291
```

Below is Sr2LiAg at its PBEsol-relaxed geometry, with properties calculated at the meta-GGA SCAN level.

Computed properties:
As for the symmetry: No. 8. The value obtained for the density of states at the Fermi level is 2.8 states/eV/f.u. The total energy is -78.65 eV per cell. As for the offset from the most stable computed form: 8.2 kJ/mol of atoms.

Geometry as extended XYZ:
```
4
Lattice="6.593 -1.942 0.000 6.593 1.942 0.000 -2.276 0.000 4.986" Properties=species:S:1:pos:R:3 pbc="T T T"
Sr 0.000 0.000 0.000
Sr 1.126 0.000 3.524
Li 4.334 0.000 1.982
Ag 9.143 0.000 1.159
```

Below is SrLiAg2 at its PBEsol-relaxed geometry, with properties calculated at the meta-GGA SCAN level.

Computed properties:
As for the symmetry: No. 160. The value obtained for the density of states at the Fermi level is 1.6 states/eV/f.u. The total energy is -88.18 eV per cell. As for the offset from the most stable computed form: 6.7 kJ/mol of atoms.

Geometry as extended XYZ:
```
4
Lattice="2.308 1.332 5.226 -2.308 1.332 5.226 0.000 -2.665 5.226" Properties=species:S:1:pos:R:3 pbc="T T T"
Sr 0.000 0.000 0.000
Li 0.000 0.000 12.612
Ag 0.000 0.000 3.220
Ag 0.000 0.000 7.817
```

Below is SrLiAg2 at its PBEsol-relaxed geometry, with properties calculated at the meta-GGA SCAN level.

Computed properties:
As for the symmetry: No. 123. The value obtained for the density of states at the Fermi level is 1.1 states/eV/f.u. The total energy is -88.15 eV per cell. As for the offset from the most stable computed form: 7.5 kJ/mol of atoms.

Geometry as extended XYZ:
```
4
Lattice="3.553 0.000 0.000 0.000 3.553 0.000 0.000 0.000 6.983" Properties=species:S:1:pos:R:3 pbc="T T T"
Sr 0.000 0.000 0.000
Li 0.000 0.000 3.491
Ag 1.776 1.776 2.119
Ag 1.776 1.776 4.864
```

Below is SrLi2Ag2 at its PBEsol-relaxed geometry, with properties calculated at the meta-GGA SCAN level.

Computed properties:
As for the symmetry: No. 127. The value obtained for the density of states at the Fermi level is 2.0 states/eV/f.u. The total energy is -180.91 eV per cell. As for the offset from the most stable computed form: 8.6 kJ/mol of atoms.

Geometry as extended XYZ:
```
10
Lattice="7.840 0.000 0.000 0.000 7.840 0.000 0.000 0.000 3.289" Properties=species:S:1:pos:R:3 pbc="T T T"
Sr 0.000 0.000 0.000
Sr 3.920 3.920 0.000
Li 0.936 2.984 0.000
Li 2.984 6.904 0.000
Li 4.855 0.936 0.000
Li 6.904 4.855 0.000
Ag 1.322 5.242 1.644
Ag 2.597 1.322 1.644
Ag 5.242 6.517 1.644
Ag 6.517 2.597 1.644
```

Below is SrLiAg2 at its PBEsol-relaxed geometry, with properties calculated at the meta-GGA SCAN level.

Computed properties:
As for the symmetry: No. 44. The value obtained for the density of states at the Fermi level is 1.6 states/eV/f.u. The total energy is -87.85 eV per cell. As for the offset from the most stable computed form: 14.6 kJ/mol of atoms.

Geometry as extended XYZ:
```
4
Lattice="-2.098 2.349 4.471 2.098 -2.349 4.471 2.098 2.349 -4.471" Properties=species:S:1:pos:R:3 pbc="T T T"
Sr 0.000 0.000 0.000
Li 0.000 2.349 2.074
Ag 2.098 0.000 2.355
Ag 0.000 0.000 4.455
```

Below is Sr2LiAg at its PBEsol-relaxed geometry, with properties calculated at the meta-GGA SCAN level.

Computed properties:
As for the symmetry: No. 225. The value obtained for the density of states at the Fermi level is 3.7 states/eV/f.u. The total energy is -78.75 eV per cell. As for the offset from the most stable computed form: 5.9 kJ/mol of atoms.

Geometry as extended XYZ:
```
4
Lattice="0.000 3.955 3.955 3.955 0.000 3.955 3.955 3.955 0.000" Properties=species:S:1:pos:R:3 pbc="T T T"
Sr 1.978 1.978 1.978
Sr 5.933 5.933 5.933
Li 0.000 0.000 0.000
Ag 3.955 3.955 3.955
```

One value per record, in order, for ΔH_f (0 K): -0.149; -0.079; -0.086; -0.196; -0.188; -0.133; -0.114; -0.110 eV/atom.